This record from Alexandria describes crystalline ZrNiRuF2 at its relaxed geometry. The functional is PBE+U.

## Properties
SG: No. 123
V: 16.46 A^3/atom
Density of states at the Fermi level: 2.4 states/eV per cell
M_tot: 0.00 μB per atom
Final energy: -4.9025 eV/atom

abc: 3.9535 5.2641 3.9535
angles: 90.00 90.00 90.00
Atoms (fractional coordinates):
Ni 0.5000 0.5000 0.5000
F 0.5000 0.0000 0.0000
F 0.0000 0.0000 0.5000
Zr 0.0000 0.5000 0.0000
Ru 0.0000 0.0000 0.0000